*one*
First-principles (PBE) data for crystalline CaHRu3 at its relaxed geometry, as listed in the Alexandria database.

Structure (extended XYZ):
```
5
Lattice="-4.0173 1.2401 -2.4365 -2.0963 -4.1772 1.3303 -1.7550 2.1509 3.9883" Properties=species:S:1:pos:R:3 pbc="T T T"
H -3.9343 -0.3931 1.4411
Ca 0.0000 0.0000 0.0000
Ru -0.8775 1.0755 1.9942
Ru -1.0481 -2.0886 0.6652
Ru -2.0087 0.6200 -1.2183
```

Properties
total magnetic moment	6.6	μB per cell
Fermi-level density of states	7.23	states/eV/f.u.
space-group type	Pm-3m

***

*two*
First-principles (PBE) data for crystalline CaHRu3 at its relaxed geometry, as listed in the Alexandria database.

Structure (extended XYZ):
```
5
Lattice="-1.3854 1.6294 3.4629 -3.6437 0.5646 -1.7234 -1.1703 -3.6867 1.2665" Properties=species:S:1:pos:R:3 pbc="T T T"
Ru -0.6927 0.8147 1.7314
Ru -1.8219 0.2823 -0.8617
Ru -0.5852 -1.8434 0.6332
H 0.0000 0.0000 0.0000
Ca -3.0997 -0.7464 1.5030
```

Properties
total magnetic moment	1.3	μB per cell
Fermi-level density of states	6.71	states/eV/f.u.
space-group type	Pm-3m

***

So which one is most stable? That would be *two*, about 241.2 kJ/mol of atoms below the next structure.

***

*one*
First-principles (PBE) data for crystalline CaH3S at its relaxed geometry, as listed in the Alexandria database.

Structure (extended XYZ):
```
5
Lattice="-2.3370 -1.7210 -2.7265 0.2382 -3.4504 1.9737 -3.2154 0.9953 2.1279" Properties=species:S:1:pos:R:3 pbc="T T T"
H 0.1191 -1.7252 0.9869
H -1.1685 -0.8605 -1.3633
H -1.6077 0.4976 1.0639
S -2.6572 -2.0880 0.6876
Ca 0.0000 0.0000 0.0000
```

Properties
total magnetic moment	0.0	μB per cell
Fermi-level density of states	2.20	states/eV/f.u.
space-group type	Pm-3m

***

*two*
First-principles (PBE) data for crystalline CaH3S at its relaxed geometry, as listed in the Alexandria database.

Structure (extended XYZ):
```
5
Lattice="3.8511 0.0000 0.0000 0.0000 3.8511 0.0000 0.0000 0.0000 3.8511" Properties=species:S:1:pos:R:3 pbc="T T T"
S 0.0000 0.0000 0.0000
H 0.0000 1.9256 0.0000
H 1.9256 0.0000 0.0000
H 0.0000 0.0000 1.9256
Ca 1.9256 1.9256 1.9256
```

Properties
total magnetic moment	0.0	μB per cell
Fermi-level density of states	1.92	states/eV/f.u.
space-group type	Pm-3m

***

So which one is most stable? That would be *two*, about 26.0 kJ/mol of atoms below the next structure.

***

*one*
First-principles (PBE) data for crystalline CaHS3 at its relaxed geometry, as listed in the Alexandria database.

Structure (extended XYZ):
```
5
Lattice="-5.1241 -1.3584 1.4101 1.6954 -5.0543 1.2919 0.9794 1.6426 5.1412" Properties=species:S:1:pos:R:3 pbc="T T T"
S -2.5620 -0.6792 0.7051
S 0.8477 -2.5272 0.6459
S 0.4897 0.8213 2.5706
H -1.2246 -2.3851 3.9216
Ca 0.0000 0.0000 0.0000
```

Properties
total magnetic moment	5.0	μB per cell
Fermi-level density of states	2.92	states/eV/f.u.
space-group type	Pm-3m

***

*two*
First-principles (PBE) data for crystalline CaHS3 at its relaxed geometry, as listed in the Alexandria database.

Structure (extended XYZ):
```
5
Lattice="-0.9948 -4.1374 0.4661 4.0404 -1.0750 -0.9189 1.0051 0.2264 4.1549" Properties=species:S:1:pos:R:3 pbc="T T T"
S 2.0202 -0.5375 -0.4594
S 0.5026 0.1132 2.0775
S -0.4974 -2.0687 0.2330
H 0.0000 0.0000 0.0000
Ca 2.0254 -2.4930 1.8511
```

Properties
total magnetic moment	0.0	μB per cell
Fermi-level density of states	3.74	states/eV/f.u.
space-group type	Pm-3m

***

So which one is most stable? That would be *two*, about 65.9 kJ/mol of atoms below the next structure.

***

*one*
First-principles (PBE) data for crystalline Ca2HS at its relaxed geometry, as listed in the Alexandria database.

Structure (extended XYZ):
```
4
Lattice="-1.5712 -2.5266 -2.4214 1.4173 -0.3987 -3.5423 4.0458 -5.5920 0.1711" Properties=species:S:1:pos:R:3 pbc="T T T"
S 3.9161 -7.5117 -3.8190
Ca 2.9749 -4.3853 -0.3932
Ca 0.9440 -2.0967 -1.4634
H 2.0485 -4.3743 -2.8422
```

Properties
total magnetic moment	0.3	μB per cell
Fermi-level density of states	1.96	states/eV/f.u.
space-group type	R3m

***

*two*
First-principles (PBE) data for crystalline Ca2HS at its relaxed geometry, as listed in the Alexandria database.

Structure (extended XYZ):
```
4
Lattice="-1.3250 0.6741 -3.6216 -3.3993 -1.5559 -1.1619 -4.5536 4.7054 0.4259" Properties=species:S:1:pos:R:3 pbc="T T T"
S -4.6390 1.9118 -2.1788
H 0.0000 0.0000 0.0000
Ca -2.2827 0.8941 -1.1144
Ca -6.9953 2.9295 -3.2433
```

Properties
total magnetic moment	0.1	μB per cell
Fermi-level density of states	2.39	states/eV/f.u.
space-group type	R-3m

***

So which one is most stable? That would be *two*, about 6.6 kJ/mol of atoms below the next structure.

***

*one*
First-principles (PBE) data for crystalline Ca2HS at its relaxed geometry, as listed in the Alexandria database.

Structure (extended XYZ):
```
4
Lattice="0.0000 3.3299 3.3299 3.3299 0.0000 3.3299 3.3299 3.3299 0.0000" Properties=species:S:1:pos:R:3 pbc="T T T"
H 0.0000 0.0000 0.0000
Ca 4.9949 4.9949 4.9949
Ca 1.6650 1.6650 1.6650
S 3.3299 3.3299 3.3299
```

Properties
total magnetic moment	0.0	μB per cell
Fermi-level density of states	3.36	states/eV/f.u.
space-group type	Fm-3m

***

*two*
First-principles (PBE) data for crystalline Ca2HS at its relaxed geometry, as listed in the Alexandria database.

Structure (extended XYZ):
```
8
Lattice="-5.1446 0.6518 -2.9926 -3.0560 -1.4831 4.9304 -4.2963 5.1087 2.5091" Properties=species:S:1:pos:R:3 pbc="T T T"
Ca -10.2978 3.1527 3.4162
Ca -3.7953 0.4530 3.2369
Ca -4.5032 1.4779 -0.5290
Ca -6.3974 3.4713 2.7697
S 0.0000 0.0000 0.0000
S -6.7706 2.6724 0.2427
H -4.1003 -0.4156 0.9689
H -5.7263 1.6050 4.2042
```

Properties
total magnetic moment	2.0	μB per cell
Fermi-level density of states	0.50	states/eV/f.u.
space-group type	I-42d

***

So which one is most stable? That would be *two*, about 12.1 kJ/mol of atoms below the next structure.

***

*one*
First-principles (PBE) data for crystalline Ca2H2S at its relaxed geometry, as listed in the Alexandria database.

Structure (extended XYZ):
```
10
Lattice="-3.8048 0.1890 -0.8477 1.5050 -3.2741 1.4988 -2.4929 4.4282 12.1769" Properties=species:S:1:pos:R:3 pbc="T T T"
Ca -2.4612 1.7816 11.4447
Ca -1.8080 0.6212 8.2539
Ca -2.9847 0.7218 4.5741
Ca -2.3315 -0.4385 1.3833
H -3.4249 1.5038 6.7244
H -0.4085 -1.8646 1.4181
H -4.3841 3.2077 11.4098
H -1.3678 -0.1607 6.1035
S -1.8697 3.3211 9.1326
S -0.6232 1.1070 3.0442
```

Properties
total magnetic moment	0.0	μB per cell
Fermi-level density of states	0.00	states/eV/f.u.
space-group type	P6_3/mmc

***

*two*
First-principles (PBE) data for crystalline Ca2H2S at its relaxed geometry, as listed in the Alexandria database.

Structure (extended XYZ):
```
5
Lattice="3.6369 0.0000 0.0000 0.0000 3.6369 0.0000 1.8185 1.8185 5.9476" Properties=species:S:1:pos:R:3 pbc="T T T"
Ca 1.8185 1.8185 1.6340
Ca 3.6369 3.6369 4.3136
H 1.8185 3.6369 2.9738
H 3.6369 1.8185 2.9738
S 0.0000 0.0000 0.0000
```

Properties
total magnetic moment	0.0	μB per cell
Fermi-level density of states	0.00	states/eV/f.u.
space-group type	I4/mmm

***

So which one is most stable? That would be *one*, about 2.0 kJ/mol of atoms below the next structure.

***

*one*
First-principles (PBE) data for crystalline CaSbH2 at its relaxed geometry, as listed in the Alexandria database.

Structure (extended XYZ):
```
4
Lattice="0.0000 3.1180 3.1180 3.1180 0.0000 3.1180 3.1180 3.1180 0.0000" Properties=species:S:1:pos:R:3 pbc="T T T"
H 4.6770 4.6770 4.6770
H 1.5590 1.5590 1.5590
Sb 3.1180 3.1180 3.1180
Ca 0.0000 0.0000 0.0000
```

Properties
total magnetic moment	0.0	μB per cell
Fermi-level density of states	1.96	states/eV/f.u.
space-group type	Fm-3m

***

*two*
First-principles (PBE) data for crystalline CaSbH2 at its relaxed geometry, as listed in the Alexandria database.

Structure (extended XYZ):
```
8
Lattice="4.9145 0.0000 0.0000 0.0000 4.9145 0.0000 2.4572 2.4572 5.6758" Properties=species:S:1:pos:R:3 pbc="T T T"
Ca 2.4572 4.9145 2.8379
Ca 2.4572 2.4572 0.0000
H 1.4150 3.6859 1.4190
H 3.4995 1.2286 1.4190
H 6.1431 5.9567 4.2569
H 3.6859 3.8722 4.2569
Sb 0.0000 0.0000 0.0000
Sb 4.9145 2.4572 2.8379
```

Properties
total magnetic moment	0.0	μB per cell
Fermi-level density of states	0.76	states/eV/f.u.
space-group type	I-42d

***

So which one is most stable? That would be *two*, about 3.8 kJ/mol of atoms below the next structure.

***

*one*
First-principles (PBE) data for crystalline Ca3SbH at its relaxed geometry, as listed in the Alexandria database.

Structure (extended XYZ):
```
5
Lattice="-0.5097 -4.8680 -0.6067 4.5229 -0.2301 -1.9534 1.8998 -0.7583 4.4879" Properties=species:S:1:pos:R:3 pbc="T T T"
Sb 2.9565 -2.9282 0.9639
Ca -0.2548 -2.4340 -0.3034
Ca 2.2614 -0.1150 -0.9767
Ca 0.9499 -0.3791 2.2440
H 0.0000 0.0000 0.0000
```

Properties
total magnetic moment	0.0	μB per cell
Fermi-level density of states	5.06	states/eV/f.u.
space-group type	Pm-3m

***

*two*
First-principles (PBE) data for crystalline Ca3SbH at its relaxed geometry, as listed in the Alexandria database.

Structure (extended XYZ):
```
10
Lattice="-7.4672 -0.4645 -1.9958 -0.5567 -5.4335 -5.0888 3.1191 -4.7701 3.1457" Properties=species:S:1:pos:R:3 pbc="T T T"
H -4.9821 -6.7767 -1.5525
H 1.5828 -7.2886 -1.8610
Sb -5.3417 -3.5151 -3.1946
Sb -1.1764 -5.7796 -3.3643
Ca 0.0201 -8.9324 -2.2325
Ca -3.8551 -8.2671 -2.8919
Ca 0.4561 -5.7975 -0.5215
Ca -0.9528 -2.4281 -0.6157
Ca -5.0087 -1.4332 -0.8543
Ca -3.4194 -5.1327 -1.1807
```

Properties
total magnetic moment	0.0	μB per cell
Fermi-level density of states	1.38	states/eV/f.u.
space-group type	P-1

***

So which one is most stable? That would be *two*, about 12.2 kJ/mol of atoms below the next structure.

***

*one*
First-principles (PBE) data for crystalline CaSb2H at its relaxed geometry, as listed in the Alexandria database.

Structure (extended XYZ):
```
4
Lattice="0.0000 3.6412 3.6412 3.6412 0.0000 3.6412 3.6412 3.6412 0.0000" Properties=species:S:1:pos:R:3 pbc="T T T"
H 0.0000 0.0000 0.0000
Sb 5.4617 5.4617 5.4617
Sb 1.8206 1.8206 1.8206
Ca 3.6412 3.6412 3.6412
```

Properties
total magnetic moment	0.7	μB per cell
Fermi-level density of states	2.25	states/eV/f.u.
space-group type	Fm-3m

***

*two*
First-principles (PBE) data for crystalline CaSb2H at its relaxed geometry, as listed in the Alexandria database.

Structure (extended XYZ):
```
8
Lattice="-0.6597 -0.1659 5.4259 -0.2366 -5.4598 -0.1957 6.8584 -3.1610 3.4928" Properties=species:S:1:pos:R:3 pbc="T T T"
Sb 4.3974 -6.4205 7.2273
Sb 1.3782 -1.5499 3.3727
Sb 4.7699 -5.3531 4.5497
Sb 1.3788 -4.2499 2.2964
Ca 0.0000 0.0000 0.0000
Ca 2.8753 -3.0699 5.7669
H 3.0868 -5.7168 2.9561
H -0.4482 -2.8129 2.6151
```

Properties
total magnetic moment	0.0	μB per cell
Fermi-level density of states	1.26	states/eV/f.u.
space-group type	I-42d

***

So which one is most stable? That would be *two*, about 20.7 kJ/mol of atoms below the next structure.

***

*one*
First-principles (PBE) data for crystalline Ca3ScH at its relaxed geometry, as listed in the Alexandria database.

Structure (extended XYZ):
```
5
Lattice="5.1670 0.0000 0.0000 0.0000 5.1670 0.0000 0.0000 0.0000 5.1670" Properties=species:S:1:pos:R:3 pbc="T T T"
H 0.0000 0.0000 0.0000
Ca 2.5835 0.0000 0.0000
Ca 0.0000 2.5835 0.0000
Ca 0.0000 0.0000 2.5835
Sc 2.5835 2.5835 2.5835
```

Properties
total magnetic moment	1.2	μB per cell
Fermi-level density of states	8.05	states/eV/f.u.
space-group type	Pm-3m

***

*two*
First-principles (PBE) data for crystalline Ca3ScH at its relaxed geometry, as listed in the Alexandria database.

Structure (extended XYZ):
```
5
Lattice="-2.9983 2.6750 -4.5996 3.8335 -2.5753 -3.9966 -3.6899 -4.8491 -0.4147" Properties=species:S:1:pos:R:3 pbc="T T T"
Sc 0.0000 0.0000 0.0000
Ca -1.4991 1.3375 -2.2998
Ca 1.9168 -1.2877 -1.9983
Ca -1.8450 -2.4245 -0.2074
H -1.4274 -2.3747 -4.5055
```

Properties
total magnetic moment	3.6	μB per cell
Fermi-level density of states	4.10	states/eV/f.u.
space-group type	Pm-3m

***

So which one is most stable? That would be *one*, about 104.8 kJ/mol of atoms below the next structure.

***

*one*
First-principles (PBE) data for crystalline CaScH3 at its relaxed geometry, as listed in the Alexandria database.

Structure (extended XYZ):
```
5
Lattice="4.0414 0.0000 0.0000 0.0000 4.0414 0.0000 0.0000 0.0000 4.0414" Properties=species:S:1:pos:R:3 pbc="T T T"
Sc 2.0207 2.0207 2.0207
H 0.0000 2.0207 0.0000
H 0.0000 0.0000 2.0207
H 2.0207 0.0000 0.0000
Ca 0.0000 0.0000 0.0000
```

Properties
total magnetic moment	0.3	μB per cell
Fermi-level density of states	3.91	states/eV/f.u.
space-group type	Pm-3m

***

*two*
First-principles (PBE) data for crystalline CaScH3 at its relaxed geometry, as listed in the Alexandria database.

Structure (extended XYZ):
```
5
Lattice="-0.0209 -3.2921 2.2046 0.6799 -2.1749 -3.2413 3.9033 0.3612 0.5764" Properties=species:S:1:pos:R:3 pbc="T T T"
H 0.3399 -1.0875 -1.6207
H -0.0105 -1.6461 1.1023
H 1.9517 0.1806 0.2882
Sc 0.0000 0.0000 0.0000
Ca 2.2812 -2.5529 -0.2302
```

Properties
total magnetic moment	0.0	μB per cell
Fermi-level density of states	2.48	states/eV/f.u.
space-group type	Pm-3m

***

So which one is most stable? That would be *two*, about 42.6 kJ/mol of atoms below the next structure.

***

*one*
First-principles (PBE) data for crystalline CaY2ScH at its relaxed geometry, as listed in the Alexandria database.

Structure (extended XYZ):
```
5
Lattice="5.0245 0.0000 0.0000 0.0000 5.0245 0.0000 0.0000 0.0000 4.8611" Properties=species:S:1:pos:R:3 pbc="T T T"
Y 2.5122 0.0000 0.0000
Y 0.0000 2.5122 0.0000
H 0.0000 0.0000 0.0000
Ca 2.5122 2.5122 2.4305
Sc 0.0000 0.0000 2.4305
```

Properties
total magnetic moment	0.0	μB per cell
Fermi-level density of states	7.51	states/eV/f.u.
space-group type	P4/mmm

***

*two*
First-principles (PBE) data for crystalline CaY2ScH at its relaxed geometry, as listed in the Alexandria database.

Structure (extended XYZ):
```
5
Lattice="-2.7515 -3.5907 2.0547 4.1238 -2.5779 1.0172 0.3331 2.2829 4.4356" Properties=species:S:1:pos:R:3 pbc="T T T"
Ca 0.1665 1.1415 2.2178
Y -1.3757 -1.7954 1.0274
Y 2.0619 -1.2890 0.5086
H 0.0000 0.0000 0.0000
Sc 0.8527 -1.9428 3.7537
```

Properties
total magnetic moment	0.0	μB per cell
Fermi-level density of states	7.27	states/eV/f.u.
space-group type	P4/mmm

***

So which one is most stable? That would be *two*, about 1.4 kJ/mol of atoms below the next structure.